A relaxed structure of PrNd2Ag6, computed with PBE-GGA.

Computed properties:
Energy above the most stable polymorph in this dataset: 0 meV per atom
Formation energy: -0.26 eV per atom
VASP energy: -3.749 eV/atom

Cell and atoms, written as CIF:
```
data_PrNd2Ag6
_chemical_formula_sum 'Pr1 Nd2 Ag6'
_cell_length_a 8.348
_cell_length_b 8.348
_cell_length_c 3.596
_cell_angle_alpha 90.00
_cell_angle_beta 90.00
_cell_angle_gamma 120.00
_space_group_name_H-M_alt 'P 1'
_space_group_IT_number 1
loop_
_space_group_symop_operation_xyz
'x,y,z'
loop_
_atom_site_label
_atom_site_type_symbol
_atom_site_fract_x
_atom_site_fract_y
_atom_site_fract_z
Pr1 Pr 0.000 0.000 0.000
Nd1 Nd 0.333 0.667 0.000
Nd2 Nd 0.667 0.333 0.000
Ag1 Ag 0.000 0.334 0.500
Ag2 Ag 0.000 0.666 0.500
Ag3 Ag 0.334 0.000 0.500
Ag4 Ag 0.334 0.334 0.500
Ag5 Ag 0.666 0.000 0.500
Ag6 Ag 0.666 0.666 0.500
```

---

A relaxed structure of Pr4Nd9Ag11, computed with PBE-GGA.

Computed properties:
Formation energy: -0.16 eV per atom
VASP energy: -4.056 eV/atom

Cell and atoms, written as CIF:
```
data_Pr4Nd9Ag11
_chemical_formula_sum 'Pr4 Nd9 Ag11'
_cell_length_a 13.817
_cell_length_b 13.817
_cell_length_c 3.640
_cell_angle_alpha 90.00
_cell_angle_beta 90.00
_cell_angle_gamma 110.15
_space_group_name_H-M_alt 'P 1'
_space_group_IT_number 1
loop_
_space_group_symop_operation_xyz
'x,y,z'
loop_
_atom_site_label
_atom_site_type_symbol
_atom_site_fract_x
_atom_site_fract_y
_atom_site_fract_z
Pr1 Pr 0.064 0.243 0.000
Pr2 Pr 0.243 0.064 0.000
Pr3 Pr 0.757 0.936 0.000
Pr4 Pr 0.936 0.757 0.000
Nd1 Nd 0.000 0.000 0.000
Nd2 Nd 0.125 0.642 0.000
Nd3 Nd 0.293 0.467 0.000
Nd4 Nd 0.358 0.875 0.000
Nd5 Nd 0.467 0.293 0.000
Nd6 Nd 0.533 0.707 0.000
Nd7 Nd 0.642 0.125 0.000
Nd8 Nd 0.707 0.533 0.000
Nd9 Nd 0.875 0.358 0.000
Ag1 Ag 0.085 0.443 0.500
Ag2 Ag 0.142 0.858 0.500
Ag3 Ag 0.266 0.266 0.500
Ag4 Ag 0.329 0.671 0.500
Ag5 Ag 0.443 0.085 0.500
Ag6 Ag 0.500 0.500 0.500
Ag7 Ag 0.557 0.915 0.500
Ag8 Ag 0.671 0.329 0.500
Ag9 Ag 0.734 0.734 0.500
Ag10 Ag 0.858 0.142 0.500
Ag11 Ag 0.915 0.557 0.500
```

---

A relaxed structure of PrNdAg, computed with PBE-GGA.

Computed properties:
Energy above the most stable polymorph in this dataset: 131 meV per atom
Formation energy: -0.02 eV per atom
VASP energy: -4.153 eV/atom

Cell and atoms, written as CIF:
```
data_PrNdAg
_chemical_formula_sum 'Pr1 Nd1 Ag1'
_cell_length_a 5.166
_cell_length_b 5.166
_cell_length_c 3.788
_cell_angle_alpha 90.00
_cell_angle_beta 90.00
_cell_angle_gamma 120.00
_space_group_name_H-M_alt 'P 1'
_space_group_IT_number 1
loop_
_space_group_symop_operation_xyz
'x,y,z'
loop_
_atom_site_label
_atom_site_type_symbol
_atom_site_fract_x
_atom_site_fract_y
_atom_site_fract_z
Pr1 Pr 0.000 0.000 0.000
Nd1 Nd 0.333 0.667 0.419
Ag1 Ag 0.667 0.333 0.699
```

---

A relaxed structure of PrNd2Ag, computed with PBE-GGA.

Computed properties:
Energy above the most stable polymorph in this dataset: 278 meV per atom
Formation energy: 0.17 eV per atom
VASP energy: -4.122 eV/atom

Cell and atoms, written as CIF:
```
data_PrNd2Ag
_chemical_formula_sum 'Pr1 Nd2 Ag1'
_cell_length_a 12.121
_cell_length_b 12.121
_cell_length_c 12.121
_cell_angle_alpha 16.63
_cell_angle_beta 16.63
_cell_angle_gamma 16.63
_space_group_name_H-M_alt 'P 1'
_space_group_IT_number 1
loop_
_space_group_symop_operation_xyz
'x,y,z'
loop_
_atom_site_label
_atom_site_type_symbol
_atom_site_fract_x
_atom_site_fract_y
_atom_site_fract_z
Pr1 Pr 0.000 0.000 0.000
Nd1 Nd 0.097 0.097 0.097
Nd2 Nd 0.903 0.903 0.903
Ag1 Ag 0.500 0.500 0.500
```

---

A relaxed structure of Pr5NdAg6, computed with PBE-GGA.

Computed properties:
Formation energy: -0.25 eV per atom
VASP energy: -4.060 eV/atom

Cell and atoms, written as CIF:
```
data_Pr5NdAg6
_chemical_formula_sum 'Pr5 Nd1 Ag6'
_cell_length_a 5.382
_cell_length_b 7.469
_cell_length_c 8.473
_cell_angle_alpha 90.00
_cell_angle_beta 107.78
_cell_angle_gamma 90.00
_space_group_name_H-M_alt 'P 1'
_space_group_IT_number 1
loop_
_space_group_symop_operation_xyz
'x,y,z'
loop_
_atom_site_label
_atom_site_type_symbol
_atom_site_fract_x
_atom_site_fract_y
_atom_site_fract_z
Pr1 Pr 0.000 0.000 0.000
Pr2 Pr 0.333 0.000 0.666
Pr3 Pr 0.333 0.500 0.667
Pr4 Pr 0.667 0.000 0.334
Pr5 Pr 0.667 0.500 0.333
Nd1 Nd 0.000 0.500 0.000
Ag1 Ag 0.166 0.251 0.332
Ag2 Ag 0.166 0.749 0.332
Ag3 Ag 0.500 0.253 0.000
Ag4 Ag 0.500 0.747 0.000
Ag5 Ag 0.834 0.251 0.668
Ag6 Ag 0.834 0.749 0.668
```

---

A relaxed structure of PrNdAg, computed with PBE-GGA.

Computed properties:
Energy above the most stable polymorph in this dataset: 237 meV per atom
Formation energy: 0.09 eV per atom
VASP energy: -4.047 eV/atom

Cell and atoms, written as CIF:
```
data_PrNdAg
_chemical_formula_sum 'Pr1 Nd1 Ag1'
_cell_length_a 5.207
_cell_length_b 5.207
_cell_length_c 5.207
_cell_angle_alpha 60.00
_cell_angle_beta 60.00
_cell_angle_gamma 60.00
_space_group_name_H-M_alt 'P 1'
_space_group_IT_number 1
loop_
_space_group_symop_operation_xyz
'x,y,z'
loop_
_atom_site_label
_atom_site_type_symbol
_atom_site_fract_x
_atom_site_fract_y
_atom_site_fract_z
Pr1 Pr 0.000 0.000 0.000
Nd1 Nd 0.500 0.500 0.500
Ag1 Ag 0.250 0.250 0.250
```

---

A relaxed structure of PrNd2Ag, computed with PBE-GGA.

Computed properties:
Energy above the most stable polymorph in this dataset: 0 meV per atom
Formation energy: -0.11 eV per atom
VASP energy: -4.400 eV/atom

Cell and atoms, written as CIF:
```
data_PrNd2Ag
_chemical_formula_sum 'Pr1 Nd2 Ag1'
_cell_length_a 3.749
_cell_length_b 3.749
_cell_length_c 8.866
_cell_angle_alpha 90.00
_cell_angle_beta 90.00
_cell_angle_gamma 90.00
_space_group_name_H-M_alt 'P 1'
_space_group_IT_number 1
loop_
_space_group_symop_operation_xyz
'x,y,z'
loop_
_atom_site_label
_atom_site_type_symbol
_atom_site_fract_x
_atom_site_fract_y
_atom_site_fract_z
Pr1 Pr 0.000 0.000 0.000
Nd1 Nd 0.500 0.500 0.288
Nd2 Nd 0.500 0.500 0.712
Ag1 Ag 0.000 0.000 0.500
```

---

A relaxed structure of PrNd2Ag6, computed with PBE-GGA.

Computed properties:
Energy above the most stable polymorph in this dataset: 76 meV per atom
Formation energy: -0.18 eV per atom
VASP energy: -3.673 eV/atom

Cell and atoms, written as CIF:
```
data_PrNd2Ag6
_chemical_formula_sum 'Pr1 Nd2 Ag6'
_cell_length_a 8.710
_cell_length_b 8.710
_cell_length_c 8.710
_cell_angle_alpha 155.99
_cell_angle_beta 124.57
_cell_angle_gamma 61.25
_space_group_name_H-M_alt 'P 1'
_space_group_IT_number 1
loop_
_space_group_symop_operation_xyz
'x,y,z'
loop_
_atom_site_label
_atom_site_type_symbol
_atom_site_fract_x
_atom_site_fract_y
_atom_site_fract_z
Pr1 Pr 0.000 0.000 0.000
Nd1 Nd 0.358 0.858 0.500
Nd2 Nd 0.642 0.142 0.500
Ag1 Ag 0.004 0.326 0.679
Ag2 Ag 0.320 0.500 0.820
Ag3 Ag 0.353 0.674 0.679
Ag4 Ag 0.647 0.326 0.321
Ag5 Ag 0.680 0.500 0.180
Ag6 Ag 0.996 0.674 0.321
```

---

A relaxed structure of Pr3NdAg4, computed with PBE-GGA.

Computed properties:
Formation energy: -0.25 eV per atom
VASP energy: -4.063 eV/atom

Cell and atoms, written as CIF:
```
data_Pr3NdAg4
_chemical_formula_sum 'Pr3 Nd1 Ag4'
_cell_length_a 3.777
_cell_length_b 3.777
_cell_length_c 15.113
_cell_angle_alpha 90.00
_cell_angle_beta 90.00
_cell_angle_gamma 90.00
_space_group_name_H-M_alt 'P 1'
_space_group_IT_number 1
loop_
_space_group_symop_operation_xyz
'x,y,z'
loop_
_atom_site_label
_atom_site_type_symbol
_atom_site_fract_x
_atom_site_fract_y
_atom_site_fract_z
Pr1 Pr 0.000 0.000 0.000
Pr2 Pr 0.000 0.000 0.251
Pr3 Pr 0.000 0.000 0.749
Nd1 Nd 0.000 0.000 0.500
Ag1 Ag 0.500 0.500 0.125
Ag2 Ag 0.500 0.500 0.378
Ag3 Ag 0.500 0.500 0.622
Ag4 Ag 0.500 0.500 0.875
```

---

A relaxed structure of PrNd4Ag, computed with PBE-GGA.

Computed properties:
Energy above the most stable polymorph in this dataset: 0 meV per atom
Formation energy: -0.07 eV per atom
VASP energy: -4.516 eV/atom

Cell and atoms, written as CIF:
```
data_PrNd4Ag
_chemical_formula_sum 'Pr1 Nd4 Ag1'
_cell_length_a 3.711
_cell_length_b 3.711
_cell_length_c 14.263
_cell_angle_alpha 90.00
_cell_angle_beta 90.00
_cell_angle_gamma 90.00
_space_group_name_H-M_alt 'P 1'
_space_group_IT_number 1
loop_
_space_group_symop_operation_xyz
'x,y,z'
loop_
_atom_site_label
_atom_site_type_symbol
_atom_site_fract_x
_atom_site_fract_y
_atom_site_fract_z
Pr1 Pr 0.000 0.000 0.000
Nd1 Nd 0.000 0.000 0.365
Nd2 Nd 0.000 0.000 0.635
Nd3 Nd 0.500 0.500 0.182
Nd4 Nd 0.500 0.500 0.818
Ag1 Ag 0.500 0.500 0.500
```

---

A relaxed structure of PrNdAg, computed with PBE-GGA.

Computed properties:
Energy above the most stable polymorph in this dataset: 2 meV per atom
Formation energy: -0.15 eV per atom
VASP energy: -4.281 eV/atom

Cell and atoms, written as CIF:
```
data_PrNdAg
_chemical_formula_sum 'Pr2 Nd2 Ag2'
_cell_length_a 3.843
_cell_length_b 6.376
_cell_length_c 8.037
_cell_angle_alpha 76.64
_cell_angle_beta 76.20
_cell_angle_gamma 72.49
_space_group_name_H-M_alt 'P 1'
_space_group_IT_number 1
loop_
_space_group_symop_operation_xyz
'x,y,z'
loop_
_atom_site_label
_atom_site_type_symbol
_atom_site_fract_x
_atom_site_fract_y
_atom_site_fract_z
Pr1 Pr 0.155 0.244 0.446
Pr2 Pr 0.845 0.756 0.554
Nd1 Nd 0.415 0.323 0.847
Nd2 Nd 0.585 0.677 0.153
Ag1 Ag 0.132 0.893 0.843
Ag2 Ag 0.868 0.107 0.157
```

---

A relaxed structure of PrNd2Ag, computed with PBE-GGA.

Computed properties:
Energy above the most stable polymorph in this dataset: 107 meV per atom
Formation energy: 0.00 eV per atom
VASP energy: -4.293 eV/atom

Cell and atoms, written as CIF:
```
data_PrNd2Ag
_chemical_formula_sum 'Pr1 Nd2 Ag1'
_cell_length_a 5.705
_cell_length_b 5.705
_cell_length_c 3.698
_cell_angle_alpha 90.00
_cell_angle_beta 90.00
_cell_angle_gamma 90.00
_space_group_name_H-M_alt 'P 1'
_space_group_IT_number 1
loop_
_space_group_symop_operation_xyz
'x,y,z'
loop_
_atom_site_label
_atom_site_type_symbol
_atom_site_fract_x
_atom_site_fract_y
_atom_site_fract_z
Pr1 Pr 0.000 0.000 0.000
Nd1 Nd 0.000 0.500 0.500
Nd2 Nd 0.500 0.000 0.500
Ag1 Ag 0.500 0.500 0.000
```

---

Q: Which value of formation energy does entry 12 give?
A: 0.00 eV per atom

---

Q: Which value of formation energy does entry 5 give?
A: -0.25 eV per atom

---

Q: What is the formation energy in the ninth record?
A: -0.25 eV per atom

---

Q: Among the records above, which one has the highest VASP energy?
A: number 8